1.
## La6TlAg (PBE)

Data for a relaxed La6TlAg crystal.

Properties
Relative energy among the computed polymorphs, eV/atom: 0.055
Energy of formation, meV/atom: -104

abc: 9.423 8.737 6.419
angles: 47.15 42.93 57.47
Positions (direct):
La  0.558  0.250  0.162
La  0.750  0.968  0.725
La  0.250  0.032  0.275
La  0.033  0.443  0.773
La  0.967  0.557  0.227
La  0.442  0.750  0.838
Tl  0.500  0.500  0.500
Ag  0.000  0.000  0.000

2.
## SrMnV2S8 (PBE)

Data for a relaxed SrMnV2S8 crystal.

Properties
Energy relative to the elements, uncorrected, eV/atom: -0.7220

abc: 5.949 5.949 9.162
angles: 71.05 71.05 60.00
Each line ends with the local moment (μB).
Positions (direct):
S  0.069  0.365  0.834  -0.06
S  0.931  0.635  0.166  -0.06
S  0.828  0.828  0.516  -0.02
S  0.172  0.172  0.484  -0.02
S  0.731  0.069  0.834  -0.06
S  0.365  0.731  0.834  -0.06
S  0.269  0.931  0.166  -0.06
S  0.635  0.269  0.166  -0.06
V  0.255  0.255  0.234  0.18
V  0.745  0.745  0.766  0.18
Mn  0.000  0.000  0.000  2.92
Sr  0.500  0.500  0.500  0.00

3.
## Fe2SeBr (PBE)

Data for a relaxed Fe2SeBr crystal.

Properties
Energy relative to the elements, uncorrected, eV/atom: 0.2908
Relative energy among the computed polymorphs, eV/atom: 0.441

abc: 3.703 6.534 5.301
angles: 35.49 90.00 90.00
Each line ends with the local moment (μB).
Positions (direct):
Fe  0.000  0.000  0.000  3.16
Fe  0.500  0.500  0.000  3.12
Se  0.500  0.500  0.500  0.14
Br  0.000  0.000  0.500  0.14

4.
## Hf4BPb (PBE)

Data for a relaxed Hf4BPb crystal.

Properties
Energy of formation, meV/atom: -60

abc: 5.741 7.192 7.619
angles: 111.69 104.38 105.78
Positions (direct):
B  0.817  0.067  0.133
B  0.183  0.933  0.867
Hf  0.715  0.062  0.409
Hf  0.940  0.138  0.883
Hf  0.443  0.745  0.883
Hf  0.194  0.347  0.409
Hf  0.557  0.255  0.117
Hf  0.285  0.938  0.591
Hf  0.060  0.862  0.117
Hf  0.806  0.653  0.591
Pb  0.648  0.398  0.796
Pb  0.352  0.602  0.204

5.
## KCd2As (PBE)

Data for a relaxed KCd2As crystal.

Properties
Energy of formation, meV/atom: -96

abc: 4.466 3.353 7.523
angles: 77.08 90.00 90.00
Positions (direct):
K  0.000  0.548  0.529
As  0.500  0.915  0.794
Cd  0.500  0.226  0.173
Cd  0.000  0.811  0.005

6.
## Dy2SnC (PBE)

Data for a relaxed Dy2SnC crystal.

Properties
Energy of formation, meV/atom: 748

abc: 4.836 4.836 7.889
angles: 72.15 72.15 60.00
Each line ends with the local moment (μB).
Positions (direct):
C  0.000  0.000  0.000  0.66
Sn  0.500  0.500  0.500  0.06
Dy  0.897  0.897  0.310  0.15
Dy  0.103  0.103  0.690  0.15